[1]
Computed, not measured: crystalline PmPuTl2Se4 at its relaxed geometry at the PBE level of DFT.

Cell lengths 4.274, 7.410, 8.106 Å; angles 107.74, 90.00, 90.00 degrees
Each line ends with the local moment (μB).
Element x y z (fractional)
Pu 0.000 0.000 0.000  5.10
Se 0.500 0.231 0.205  -0.07
Pm 0.500 0.500 0.000  0.02
Tl 0.500 0.000 0.500  0.00
Tl 0.000 0.500 0.500  -0.01
Se 0.500 0.769 0.795  -0.07
Se 0.000 0.262 0.791  -0.03
Se 0.000 0.738 0.209  -0.03

Properties
- total magnetic moment (μB/cell) = 5.00
- E_form (uncorrected) (eV per atom) = -1.235
- mass density (g cm⁻³) = 7.564
- calculated total energy (eV/cell) = -47.6

=====

[2]
Computed, not measured: crystalline Pm2PuTl3Se6 at its relaxed geometry at the PBE level of DFT.

Cell lengths 7.425, 7.425, 8.106 Å; angles 98.77, 98.77, 120.01 degrees
Each line ends with the local moment (μB).
Element x y z (fractional)
Se 0.400 0.069 0.208  0.03
Pm 0.333 0.667 0.000  -0.02
Se 0.931 0.600 0.792  0.03
Pu 0.000 0.000 0.000  -5.08
Tl 0.833 0.167 0.500  0.00
Se 0.069 0.400 0.208  0.03
Se 0.600 0.931 0.792  0.03
Pm 0.667 0.333 0.000  -0.02
Se 0.739 0.739 0.209  0.04
Tl 0.500 0.500 0.500  0.00
Tl 0.167 0.833 0.500  0.00
Se 0.261 0.261 0.791  0.04

Properties
- total magnetic moment (μB/cell) = 5.00
- E_form (uncorrected) (eV per atom) = -1.279
- mass density (g cm⁻³) = 7.303
- calculated total energy (eV/cell) = -67.2

=====

[3]
Computed, not measured: crystalline Pm3PuTl3Se8 at its relaxed geometry at the PBE level of DFT.

Cell lengths 8.512, 8.510, 9.208 Å; angles 117.54, 90.00, 120.01 degrees
Each line ends with the local moment (μB).
Element x y z (fractional)
Tl 0.000 0.500 0.000  0.00
Se 0.263 0.526 0.290  0.00
Se 0.254 0.025 0.297  0.08
Tl 0.000 0.000 0.000  0.00
Tl 0.500 0.500 0.000  0.00
Se 0.771 0.025 0.297  0.08
Se 0.229 0.975 0.703  0.08
Pm 0.000 0.500 0.500  0.00
Pm 0.500 0.000 0.500  0.00
Se 0.737 0.474 0.710  0.00
Pm 0.500 0.500 0.500  0.00
Se 0.771 0.542 0.297  0.08
Pu 0.000 0.000 0.500  -4.68
Se 0.229 0.458 0.703  0.08
Se 0.746 0.975 0.703  0.08

Properties
- total magnetic moment (μB/cell) = 4.01
- E_form (uncorrected) (eV per atom) = -1.343
- mass density (g cm⁻³) = 6.542
- calculated total energy (eV/cell) = -83.7

=====

[4]
Computed, not measured: crystalline PmTm3Pu2Se6 at its relaxed geometry at the PBE level of DFT.

Cell lengths 7.046, 7.046, 7.149 Å; angles 99.46, 99.46, 120.06 degrees
Each line ends with the local moment (μB).
Element x y z (fractional)
Tm 0.500 0.500 0.500  0.01
Se 0.249 0.249 0.738  -0.02
Se 0.088 0.424 0.263  -0.02
Pu 0.667 0.333 0.000  5.50
Se 0.751 0.751 0.262  -0.02
Tm 0.835 0.165 0.500  0.01
Pu 0.333 0.667 0.000  5.50
Pm 0.000 0.000 0.000  0.07
Se 0.424 0.088 0.263  -0.02
Se 0.576 0.912 0.737  -0.02
Se 0.912 0.576 0.737  -0.02
Tm 0.165 0.835 0.500  0.01

Properties
- total magnetic moment (μB/cell) = 11.86
- E_form (uncorrected) (eV per atom) = -1.677
- mass density (g cm⁻³) = 9.236
- calculated total energy (eV/cell) = -87.9

=====

[5]
Computed, not measured: crystalline Pm2Tm3PuSe6 at its relaxed geometry at the PBE level of DFT.

Cell lengths 4.052, 8.286, 9.202 Å; angles 104.17, 102.72, 90.00 degrees
Each line ends with the local moment (μB).
Element x y z (fractional)
Se 0.004 0.744 0.008  -0.03
Se 0.331 0.925 0.662  -0.01
Se 0.996 0.256 0.992  -0.03
Se 0.669 0.075 0.338  -0.01
Tm 0.833 0.164 0.666  0.01
Se 0.663 0.593 0.326  0.01
Tm 0.167 0.836 0.334  0.01
Tm 0.500 0.500 0.000  0.00
Pm 0.834 0.668 0.668  0.02
Pu 0.500 0.000 0.000  5.53
Se 0.337 0.407 0.674  0.01
Pm 0.166 0.332 0.332  0.02

Properties
- total magnetic moment (μB/cell) = 6.03
- E_form (uncorrected) (eV per atom) = -1.722
- mass density (g cm⁻³) = 8.620
- calculated total energy (eV/cell) = -78.8

=====

[6]
Computed, not measured: crystalline PmTmPu2Se5 at its relaxed geometry at the PBE level of DFT.

Cell lengths 5.077, 5.077, 10.903 Å; angles 90.00, 90.00, 90.00 degrees
Each line ends with the local moment (μB).
Element x y z (fractional)
Se 0.500 0.500 0.000  -0.03
Se 0.000 0.000 0.751  -0.03
Se 0.500 0.000 0.500  -0.04
Se 0.000 0.500 0.500  -0.04
Tm 0.000 0.000 0.500  0.06
Se 0.000 0.000 0.249  -0.03
Pu 0.500 0.500 0.310  5.70
Pm 0.000 0.000 0.000  0.05
Pu 0.500 0.500 0.690  5.70

Properties
- total magnetic moment (μB/cell) = 11.83
- E_form (uncorrected) (eV per atom) = -1.200
- mass density (g cm⁻³) = 7.071
- calculated total energy (eV/cell) = -66.1

=====

[7]
Computed, not measured: crystalline Pm2TmPu3Se6 at its relaxed geometry at the PBE level of DFT.

Cell lengths 3.743, 10.402, 8.410 Å; angles 107.95, 102.86, 90.00 degrees
Each line ends with the local moment (μB).
Element x y z (fractional)
Se 0.000 0.737 0.999  0.01
Pu 0.673 0.309 0.346  5.48
Se 0.316 0.408 0.632  -0.04
Pu 0.327 0.691 0.654  5.48
Se 0.854 0.930 0.708  -0.03
Se 0.684 0.592 0.368  -0.04
Se 0.146 0.070 0.292  -0.03
Pu 0.500 0.500 0.000  -5.48
Se 0.000 0.263 0.001  0.01
Pm 0.662 0.854 0.324  0.01
Pm 0.338 0.146 0.676  0.01
Tm 0.500 0.000 0.000  0.33

Properties
- total magnetic moment (μB/cell) = 6.21
- E_form (uncorrected) (eV per atom) = -1.373
- mass density (g cm⁻³) = 9.128
- calculated total energy (eV/cell) = -94.4

=====

[8]
Computed, not measured: crystalline Pm4Tm3PuSe8 at its relaxed geometry at the PBE level of DFT.

Cell lengths 8.203, 8.288, 8.203 Å; angles 119.66, 120.00, 90.00 degrees
Each line ends with the local moment (μB).
Element x y z (fractional)
Pm 0.500 0.000 0.500  0.01
Pm 0.000 0.000 0.500  0.01
Se 0.744 0.733 0.489  0.00
Se 0.248 0.737 0.497  -0.02
Se 0.752 0.263 0.011  -0.02
Se 0.248 0.737 0.989  -0.02
Se 0.752 0.263 0.503  -0.02
Se 0.259 0.263 0.011  -0.02
Pu 0.000 0.500 0.000  5.42
Tm 0.500 0.500 0.500  0.04
Se 0.256 0.267 0.511  0.00
Pm 0.500 0.000 0.000  -0.06
Se 0.741 0.737 0.989  -0.02
Tm 0.000 0.500 0.500  0.04
Pm 0.000 0.000 0.000  0.01
Tm 0.500 0.500 0.000  0.04

Properties
- total magnetic moment (μB/cell) = 5.76
- E_form (uncorrected) (eV per atom) = -1.745
- mass density (g cm⁻³) = 8.222
- calculated total energy (eV/cell) = -102.5

=====

Question: The lowest calculated total energy belongs to which entry?
Answer: Pm4Tm3PuSe8

=====

Question: Which of these has the highest E_form (uncorrected)?
Answer: PmTmPu2Se5

=====

Question: Among the records above, which one has the highest E_form (uncorrected)?
Answer: PmTmPu2Se5